## Ir8Os5Rh (PBE-GGA)

Data for a relaxed Ir8Os5Rh crystal.

Summary:
Calculated formation energy in meV/atom: 464
N(E_F) in states/eV/cell: 36.1

Lattice parameters (Å, degrees): 7.6116 7.6116 7.5187 90.00 90.00 90.00
Space group I-4 (No. 82)
Unique sites:
Ir: 0.0664 0.1588 0.1688 [8 per cell]
Ir: 0.1247 0.3154 0.4921 [8 per cell]
Os: 0.0000 0.5000 0.2500 [2 per cell]
Os: 0.1042 0.3068 0.8323 [8 per cell]
Rh: 0.0000 0.0000 0.5000 [2 per cell]


## IrOs4Rh (PBE-GGA)

Data for a relaxed IrOs4Rh crystal.

Summary:
Calculated formation energy in meV/atom: 83
Offset from the most stable computed form in eV per formula unit: 0.000
N(E_F) in states/eV/cell: 12.6

Lattice parameters (Å, degrees): 4.7171 8.1980 4.7185 90.00 109.37 90.00
Space group C2/m (No. 12)
Unique sites:
Ir: 0.0000 0.0000 0.0000 [2 per cell]
Os: 0.0000 0.1697 0.5000 [4 per cell]
Os: 0.0000 0.3288 0.0000 [4 per cell]
Rh: 0.0000 0.5000 0.5000 [2 per cell]


## IrOsRh2 (PBE-GGA)

Data for a relaxed IrOsRh2 crystal.

Summary:
Calculated formation energy in meV/atom: 36
Offset from the most stable computed form in eV per formula unit: 0.108
N(E_F) in states/eV/cell: 10.6

Lattice parameters (Å, degrees): 9.0434 2.7195 4.7165 90.00 99.98 90.00
Space group C2/m (No. 12)
Unique sites:
Ir: 0.0000 0.0000 0.0000 [2 per cell]
Os: 0.0000 0.5000 0.5000 [2 per cell]
Rh: 0.2491 0.0000 0.7468 [4 per cell]